(a)
# LaNd2Al

A relaxed structure of LaNd2Al (PBE, Alexandria).

ρ ... 6.1 g cm⁻³

Geometry as POSCAR:
```
LaNd2Al
1.0
3.632 0.000 0.000
0.000 3.632 0.000
0.000 0.000 9.400
La Nd Al
1 2 1
Cartesian
0.000 0.000 0.000
1.816 1.816 2.728
1.816 1.816 6.672
0.000 0.000 4.700
```

=====

(b)
# LaNd2Al

A relaxed structure of LaNd2Al (PBE, Alexandria).

ρ ... 6.3 g cm⁻³

Geometry as POSCAR:
```
LaNd2Al
1.0
7.817 0.000 0.000
0.000 7.817 0.000
0.000 0.000 7.817
La Nd Al
4 8 4
Cartesian
0.000 0.000 0.000
0.000 3.908 3.908
3.908 0.000 3.908
3.908 3.908 0.000
1.954 1.954 1.954
1.954 1.954 5.863
1.954 5.863 1.954
1.954 5.863 5.863
5.863 1.954 1.954
5.863 1.954 5.863
5.863 5.863 1.954
5.863 5.863 5.863
0.000 0.000 3.908
0.000 3.908 0.000
3.908 0.000 0.000
3.908 3.908 3.908
```

=====

Energies, relative to the best one, in eV/atom: (a) 0.000; (b) 0.147.

=====

(a)
# La2NdAl2

A relaxed structure of La2NdAl2 (PBE, Alexandria).

ρ ... 5.5 g cm⁻³

Geometry as POSCAR:
```
La2NdAl2
1.0
5.134 0.000 0.000
0.000 7.095 0.000
0.000 0.000 7.945
La Nd Al
4 2 4
Cartesian
0.000 0.000 1.559
0.000 0.000 6.385
2.567 3.548 2.413
2.567 3.548 5.531
0.000 3.548 0.000
2.567 0.000 3.972
0.000 2.190 3.972
0.000 4.905 3.972
2.567 1.358 0.000
2.567 5.737 0.000
```

=====

(b)
# La2NdAl2

A relaxed structure of La2NdAl2 (PBE, Alexandria).

ρ ... 5.3 g cm⁻³

Geometry as POSCAR:
```
La2NdAl2
1.0
12.452 0.000 0.000
0.000 3.864 0.000
-1.104 0.000 6.233
La Nd Al
4 2 4
Cartesian
1.541 0.000 0.452
3.581 1.932 5.780
7.767 1.932 0.452
9.808 0.000 5.780
-0.552 1.932 3.116
5.674 0.000 3.116
1.928 0.000 3.788
3.194 1.932 2.445
8.155 1.932 3.788
9.420 0.000 2.445
```

=====

Energies, relative to the best one, in eV/atom: (a) 0.000; (b) 0.115.